No. 1
An optimized crystal structure of AcNdTh2. Source: Alexandria via LeMat-Bulk, functional PBE-GGA.

a = 4.349 Å, b = 4.349 Å, c = 7.555 Å
α = 90.00°, β = 90.00°, γ = 90.00°
Fractional positions:
Th  0.000  0.000  0.779
Th  0.000  0.000  0.221
Nd  0.500  0.500  0.000
Ac  0.500  0.500  0.500

Properties
Total moment (μB/atom): 0.0000
E above lowest polymorph (meV per atom): 106
Formation energy (eV/f.u.): 0.91
Total energy (eV/atom): -5.702
N(E_F) (states/eV/cell): 6.7

No. 2
An optimized crystal structure of AcNd5Th. Source: Alexandria via LeMat-Bulk, functional PBE-GGA.

a = 5.783 Å, b = 5.783 Å, c = 8.135 Å
α = 90.00°, β = 90.00°, γ = 90.00°
Fractional positions:
Nd  0.500  0.500  0.000
Nd  0.500  0.000  0.712
Nd  0.000  0.500  0.712
Nd  0.500  0.000  0.288
Nd  0.000  0.500  0.288
Th  0.000  0.000  0.500
Ac  0.000  0.000  0.000

Properties
Total moment (μB/atom): 0.0000
Formation energy (eV/f.u.): 2.15
Total energy (eV/atom): -4.745
N(E_F) (states/eV/cell): 9.6

No. 3
An optimized crystal structure of Ac2Nd8Th. Source: Alexandria via LeMat-Bulk, functional PBE-GGA.

a = 5.272 Å, b = 8.356 Å, c = 9.865 Å
α = 104.76°, β = 105.50°, γ = 90.00°
Fractional positions:
Nd  0.324  0.094  0.648
Nd  0.587  0.445  0.175
Nd  0.676  0.906  0.352
Nd  0.958  0.266  0.917
Nd  0.131  0.169  0.262
Nd  0.042  0.734  0.083
Nd  0.869  0.831  0.738
Nd  0.413  0.555  0.825
Ac  0.227  0.641  0.454
Ac  0.773  0.359  0.546
Th  0.500  0.000  0.000

Properties
Total moment (μB/atom): 0.0000
Formation energy (eV/f.u.): 0.45
Total energy (eV/atom): -4.848
N(E_F) (states/eV/cell): 18.1

No. 4
An optimized crystal structure of Ac2NdTh. Source: Alexandria via LeMat-Bulk, functional PBE-GGA.

a = 3.783 Å, b = 3.783 Å, c = 10.806 Å
α = 90.00°, β = 90.00°, γ = 90.00°
Fractional positions:
Ac  0.000  0.000  0.758
Ac  0.000  0.000  0.242
Nd  0.500  0.500  0.500
Th  0.500  0.500  0.000

Properties
Total moment (μB/atom): 0.0001
E above lowest polymorph (meV per atom): 0
Formation energy (eV/f.u.): 0.41
Total energy (eV/atom): -4.999
N(E_F) (states/eV/cell): 7.4

No. 5
An optimized crystal structure of AcNd4Th. Source: Alexandria via LeMat-Bulk, functional PBE-GGA.

a = 3.703 Å, b = 9.892 Å, c = 12.316 Å
α = 148.79°, β = 90.21°, γ = 100.74°
Fractional positions:
Nd  0.653  0.307  0.990
Nd  0.178  0.357  0.513
Nd  0.347  0.693  0.010
Nd  0.822  0.643  0.487
Ac  0.500  0.000  0.500
Th  0.000  0.000  0.000

Properties
Total moment (μB/atom): 0.0000
Formation energy (eV/f.u.): 0.30
Total energy (eV/atom): -5.050
N(E_F) (states/eV/cell): 9.4

No. 6
An optimized crystal structure of Ac2Nd6Th. Source: Alexandria via LeMat-Bulk, functional PBE-GGA.

a = 3.732 Å, b = 3.732 Å, c = 27.807 Å
α = 90.00°, β = 90.00°, γ = 120.00°
Fractional positions:
Th  0.333  0.667  0.000
Nd  0.333  0.667  0.787
Nd  0.667  0.333  0.895
Nd  0.667  0.333  0.105
Nd  0.333  0.667  0.561
Nd  0.333  0.667  0.439
Nd  0.333  0.667  0.213
Ac  0.667  0.333  0.672
Ac  0.667  0.333  0.328

Properties
Total moment (μB/atom): 0.0000
Formation energy (eV/f.u.): 0.85
Total energy (eV/atom): -4.821
N(E_F) (states/eV/cell): 15.4

- Which value of total energy does entry 6 give?
  -4.821 eV/atom